Entry 1:
Below is a geometry-optimized TlIrBr2 structure, with properties calculated at the PBE-GGA level.

a = 5.185 Å, b = 5.185 Å, c = 5.185 Å
α = 60.00°, β = 60.00°, γ = 60.00°
Element x y z (fractional)
1 Tl 0.500 0.500 0.500
2 Ir 0.000 0.000 0.000
3 Br 0.250 0.250 0.250
4 Br 0.750 0.750 0.750

The total energy comes out at -2.924 eV per atom. The raw formation energy is 0.72 eV/atom. The density of states at the Fermi level is 3.391 states/eV/cell.

---

Entry 2:
Below is a geometry-optimized TlIrBr2 structure, with properties calculated at the PBE-GGA level.

a = 5.959 Å, b = 5.959 Å, c = 6.753 Å
α = 63.36°, β = 63.36°, γ = 36.03°
Element x y z (fractional)
1 Tl 0.181 0.181 0.382
2 Ir 0.446 0.446 0.373
3 Br 0.019 0.019 0.088
4 Br 0.854 0.854 0.658

The total energy comes out at -3.682 eV per atom. The raw formation energy is -0.04 eV/atom. The density of states at the Fermi level is 0.144 states/eV/cell.